Ca2Pm3Bi3 | PBE | relaxed

Cell lengths 9.3595, 9.3595, 6.6742 Å; angles 90.00, 90.00, 120.00 degrees
Positions (direct):
Ca  0.3333  0.6667  0.0000
Ca  0.3333  0.6667  0.5000
Ca  0.6667  0.3333  0.0000
Ca  0.6667  0.3333  0.5000
Pm  0.0000  0.2420  0.2500
Pm  0.0000  0.7580  0.7500
Pm  0.2420  0.0000  0.2500
Pm  0.2420  0.2420  0.7500
Pm  0.7580  0.0000  0.7500
Pm  0.7580  0.7580  0.2500
Bi  0.0000  0.3921  0.7500
Bi  0.0000  0.6079  0.2500
Bi  0.3921  0.0000  0.7500
Bi  0.3921  0.3921  0.2500
Bi  0.6079  0.0000  0.2500
Bi  0.6079  0.6079  0.7500

Computed properties:
Energy ... -4.492 eV per atom
Magnetization ... 0.00 μB/f.u.
Space group ... No. 193